# 1
# Cr2WCl | Alexandria | PBE-GGA | relaxed
# - E above lowest polymorph (eV per atom) = 0.099
data_Cr2WCl
_space_group_name_H-M_alt 'R -3 m'
_space_group_IT_number 166
_space_group_name_Hall '-R 3 2"'
_cell_length_a 3.0637
_cell_length_b 3.0637
_cell_length_c 23.3157
_cell_angle_alpha 90.00
_cell_angle_beta 90.00
_cell_angle_gamma 120.00
loop_
_atom_site_label
_atom_site_type_symbol
_atom_site_fract_x
_atom_site_fract_y
_atom_site_fract_z
Cr1 Cr 0.0000 0.0000 0.2469
W1 W 0.0000 0.0000 0.5000
Cl1 Cl 0.0000 0.0000 0.0000

=====

# 2
# CsKHg2 | Alexandria | PBE-GGA | relaxed
# - E above lowest polymorph (eV per atom) = 0.046
# - DFT formation energy (meV per atom) = -189.3
data_CsKHg2
_space_group_name_H-M_alt 'P 4/m m m'
_space_group_IT_number 123
_space_group_name_Hall '-P 4 2'
_cell_length_a 6.282
_cell_length_b 6.282
_cell_length_c 4.419
_cell_angle_alpha 90.00
_cell_angle_beta 90.00
_cell_angle_gamma 90.00
loop_
_atom_site_label
_atom_site_type_symbol
_atom_site_fract_x
_atom_site_fract_y
_atom_site_fract_z
Cs1 Cs 0.000 0.000 0.000
K1 K 0.500 0.500 0.000
Hg1 Hg 0.000 0.500 0.500

=====

# 3
# GaAgSn | Alexandria | PBE-GGA | relaxed
# - DFT formation energy (meV per atom) = 66.5
data_GaAgSn
_space_group_name_H-M_alt 'P 1'
_space_group_IT_number 1
_space_group_name_Hall 'P 1'
_cell_length_a 4.315
_cell_length_b 4.741
_cell_length_c 6.806
_cell_angle_alpha 89.74
_cell_angle_beta 89.96
_cell_angle_gamma 89.28
loop_
_atom_site_label
_atom_site_type_symbol
_atom_site_fract_x
_atom_site_fract_y
_atom_site_fract_z
Ga1 Ga 0.000 0.000 0.000
Ga2 Ga 0.001 0.486 0.773
Ag1 Ag 0.500 0.025 0.263
Ag2 Ag 0.999 0.994 0.566
Sn1 Sn 0.501 0.520 0.504
Sn2 Sn 0.501 0.526 0.035

=====

# 4
# TiOsN3 | Alexandria | PBE-GGA | relaxed
# - uncorrected energy (eV/atom) = -8.18
data_TiOsN3
_space_group_name_H-M_alt 'P m -3 m'
_space_group_IT_number 221
_space_group_name_Hall '-P 4 2 3'
_cell_length_a 3.822
_cell_length_b 3.822
_cell_length_c 3.822
_cell_angle_alpha 90.00
_cell_angle_beta 90.00
_cell_angle_gamma 90.00
loop_
_atom_site_label
_atom_site_type_symbol
_atom_site_fract_x
_atom_site_fract_y
_atom_site_fract_z
Ti1 Ti 0.000 0.000 0.000
Os1 Os 0.500 0.500 0.500
N1 N 0.000 0.500 0.500

=====

# 5
# YHf2O | Alexandria | PBE-GGA | relaxed
# - uncorrected energy (eV/atom) = -8.66
data_YHf2O
_space_group_name_H-M_alt 'R -3 m'
_space_group_IT_number 166
_space_group_name_Hall '-R 3 2"'
_cell_length_a 3.3093
_cell_length_b 3.3093
_cell_length_c 25.7240
_cell_angle_alpha 90.00
_cell_angle_beta 90.00
_cell_angle_gamma 120.00
loop_
_atom_site_label
_atom_site_type_symbol
_atom_site_fract_x
_atom_site_fract_y
_atom_site_fract_z
Y1 Y 0.0000 0.0000 0.0000
Hf1 Hf 0.0000 0.0000 0.1205
O1 O 0.0000 0.0000 0.5000

=====

# 6
# CuNiTe2I | Alexandria | PBE-GGA | relaxed
# - E above lowest polymorph (eV per atom) = 0.000
data_CuNiTe2I
_space_group_name_H-M_alt 'P 4/m m m'
_space_group_IT_number 123
_space_group_name_Hall '-P 4 2'
_cell_length_a 5.026
_cell_length_b 5.026
_cell_length_c 5.364
_cell_angle_alpha 90.00
_cell_angle_beta 90.00
_cell_angle_gamma 90.00
loop_
_atom_site_label
_atom_site_type_symbol
_atom_site_fract_x
_atom_site_fract_y
_atom_site_fract_z
Cu1 Cu 0.000 0.000 0.000
Ni1 Ni 0.500 0.500 0.500
Te1 Te 0.000 0.500 0.500
I1 I 0.500 0.500 0.000

=====

# 7
# CrCoSe2 | Alexandria | PBE-GGA | relaxed
# - E above lowest polymorph (eV per atom) = 0.219
data_CrCoSe2
_space_group_name_H-M_alt 'I -4 2 d'
_space_group_IT_number 122
_space_group_name_Hall 'I -4 2bw'
_cell_length_a 5.551
_cell_length_b 5.551
_cell_length_c 11.069
_cell_angle_alpha 90.00
_cell_angle_beta 90.00
_cell_angle_gamma 90.00
loop_
_atom_site_label
_atom_site_type_symbol
_atom_site_fract_x
_atom_site_fract_y
_atom_site_fract_z
Cr1 Cr 0.000 0.000 0.000
Co1 Co 0.000 0.000 0.500
Se1 Se 0.239 0.250 0.625

=====

# 8
# Nd3Se2 | Alexandria | PBE-GGA | relaxed
# - E above lowest polymorph (eV per atom) = 0.047
data_Nd3Se2
_space_group_name_H-M_alt 'R -3 c'
_space_group_IT_number 167
_space_group_name_Hall '-R 3 2"c'
_cell_length_a 7.2337
_cell_length_b 7.2337
_cell_length_c 20.3730
_cell_angle_alpha 90.00
_cell_angle_beta 90.00
_cell_angle_gamma 120.00
loop_
_atom_site_label
_atom_site_type_symbol
_atom_site_fract_x
_atom_site_fract_y
_atom_site_fract_z
Nd1 Nd 0.0000 0.3310 0.2500
Se1 Se 0.0000 0.0000 0.1629

=====

# 9
# SbPtIN2 | Alexandria | PBE-GGA | relaxed
# - E above lowest polymorph (eV per atom) = 0.000
data_SbPtIN2
_space_group_name_H-M_alt 'P 4/m m m'
_space_group_IT_number 123
_space_group_name_Hall '-P 4 2'
_cell_length_a 3.943
_cell_length_b 3.943
_cell_length_c 7.760
_cell_angle_alpha 90.00
_cell_angle_beta 90.00
_cell_angle_gamma 90.00
loop_
_atom_site_label
_atom_site_type_symbol
_atom_site_fract_x
_atom_site_fract_y
_atom_site_fract_z
Sb1 Sb 0.000 0.000 0.000
Pt1 Pt 0.500 0.500 0.500
I1 I 0.000 0.000 0.500
N1 N 0.000 0.500 0.000

=====

# 10
# LiCePu2S4 | Alexandria | PBE-GGA | relaxed
# - uncorrected energy (eV/atom) = -8.33
data_LiCePu2S4
_space_group_name_H-M_alt 'P 1 2/m 1'
_space_group_IT_number 10
_space_group_name_Hall '-P 2y'
_cell_length_a 6.852
_cell_length_b 3.961
_cell_length_c 6.860
_cell_angle_alpha 90.00
_cell_angle_beta 109.75
_cell_angle_gamma 90.00
loop_
_atom_site_label
_atom_site_type_symbol
_atom_site_fract_x
_atom_site_fract_y
_atom_site_fract_z
Li1 Li 0.000 0.000 0.000
Ce1 Ce 0.000 0.500 0.500
Pu1 Pu 0.500 0.000 0.500
Pu2 Pu 0.500 0.500 0.000
S1 S 0.247 0.500 0.247
S2 S 0.252 0.000 0.757

=====

# 11
# TeP2W | Alexandria | PBE-GGA | relaxed
# - uncorrected energy (eV/atom) = -6.13
data_TeP2W
_space_group_name_H-M_alt 'I m m m'
_space_group_IT_number 71
_space_group_name_Hall '-I 2 2'
_cell_length_a 3.024
_cell_length_b 5.572
_cell_length_c 9.479
_cell_angle_alpha 90.00
_cell_angle_beta 90.00
_cell_angle_gamma 90.00
loop_
_atom_site_label
_atom_site_type_symbol
_atom_site_fract_x
_atom_site_fract_y
_atom_site_fract_z
Te1 Te 0.000 0.000 0.000
P1 P 0.000 0.500 0.198
W1 W 0.000 0.000 0.500

=====

# 12
# AcCuAg2 | Alexandria | PBE-GGA | relaxed
# - E above lowest polymorph (eV per atom) = 0.062
# - DFT formation energy (meV per atom) = -129.4
data_AcCuAg2
_space_group_name_H-M_alt 'R -3 m'
_space_group_IT_number 166
_space_group_name_Hall '-R 3 2"'
_cell_length_a 4.6091
_cell_length_b 4.6091
_cell_length_c 15.7117
_cell_angle_alpha 90.00
_cell_angle_beta 90.00
_cell_angle_gamma 120.00
loop_
_atom_site_label
_atom_site_type_symbol
_atom_site_fract_x
_atom_site_fract_y
_atom_site_fract_z
Ac1 Ac 0.0000 0.0000 0.0000
Cu1 Cu 0.0000 0.0000 0.5000
Ag1 Ag 0.0000 0.0000 0.2073

=====

# 13
# DyYEr2Se6 | Alexandria | PBE-GGA | relaxed
# - uncorrected energy (eV/atom) = -5.96
data_DyYEr2Se6
_space_group_name_H-M_alt 'R 3'
_space_group_IT_number 146
_space_group_name_Hall 'R 3'
_cell_length_a 7.1713
_cell_length_b 7.1713
_cell_length_c 19.3945
_cell_angle_alpha 90.00
_cell_angle_beta 90.00
_cell_angle_gamma 120.00
loop_
_atom_site_label
_atom_site_type_symbol
_atom_site_fract_x
_atom_site_fract_y
_atom_site_fract_z
Dy1 Dy 0.0000 0.0000 0.0000
Y1 Y 0.0000 0.0000 0.4998
Er1 Er 0.0000 0.0000 0.3045
Er2 Er 0.0000 0.0000 0.8046
Se1 Se 0.0049 0.3077 0.9012
Se2 Se 0.0051 0.6969 0.4010

=====

# 14
# CaZr2 | Alexandria | PBE-GGA | relaxed
# - E above lowest polymorph (eV per atom) = 0.192
# - DFT formation energy (meV per atom) = 344.3
data_CaZr2
_space_group_name_H-M_alt 'I 4/m m m'
_space_group_IT_number 139
_space_group_name_Hall '-I 4 2'
_cell_length_a 3.785
_cell_length_b 3.785
_cell_length_c 11.631
_cell_angle_alpha 90.00
_cell_angle_beta 90.00
_cell_angle_gamma 90.00
loop_
_atom_site_label
_atom_site_type_symbol
_atom_site_fract_x
_atom_site_fract_y
_atom_site_fract_z
Ca1 Ca 0.000 0.000 0.000
Zr1 Zr 0.000 0.000 0.300

=====

# 15
# LiGePd | Alexandria | PBE-GGA | relaxed
# - DFT formation energy (meV per atom) = -366.9
data_LiGePd
_space_group_name_H-M_alt 'F -4 3 m'
_space_group_IT_number 216
_space_group_name_Hall 'F -4 2 3'
_cell_length_a 5.892
_cell_length_b 5.892
_cell_length_c 5.892
_cell_angle_alpha 90.00
_cell_angle_beta 90.00
_cell_angle_gamma 90.00
loop_
_atom_site_label
_atom_site_type_symbol
_atom_site_fract_x
_atom_site_fract_y
_atom_site_fract_z
Li1 Li 0.000 0.000 0.000
Ge1 Ge 0.000 0.000 0.500
Pd1 Pd 0.250 0.250 0.750

=====

# 16
# MgCd2HRh | Alexandria | PBE-GGA | relaxed
# - E above lowest polymorph (eV per atom) = 0.000
data_MgCd2HRh
_space_group_name_H-M_alt 'P 4/m m m'
_space_group_IT_number 123
_space_group_name_Hall '-P 4 2'
_cell_length_a 4.695
_cell_length_b 4.695
_cell_length_c 3.528
_cell_angle_alpha 90.00
_cell_angle_beta 90.00
_cell_angle_gamma 90.00
loop_
_atom_site_label
_atom_site_type_symbol
_atom_site_fract_x
_atom_site_fract_y
_atom_site_fract_z
Mg1 Mg 0.000 0.000 0.000
Cd1 Cd 0.000 0.500 0.500
H1 H 0.500 0.500 0.500
Rh1 Rh 0.500 0.500 0.000

=====

# 17
# TbDy2Sc | Alexandria | PBE-GGA | relaxed
# - E above lowest polymorph (eV per atom) = 0.010
# - DFT formation energy (meV per atom) = 39.7
data_TbDy2Sc
_space_group_name_H-M_alt 'P 4/m m m'
_space_group_IT_number 123
_space_group_name_Hall '-P 4 2'
_cell_length_a 4.913
_cell_length_b 4.913
_cell_length_c 4.922
_cell_angle_alpha 90.00
_cell_angle_beta 90.00
_cell_angle_gamma 90.00
loop_
_atom_site_label
_atom_site_type_symbol
_atom_site_fract_x
_atom_site_fract_y
_atom_site_fract_z
Tb1 Tb 0.000 0.000 0.000
Dy1 Dy 0.000 0.500 0.500
Sc1 Sc 0.500 0.500 0.000

=====

# 18
# Ce6POs3 | Alexandria | PBE-GGA | relaxed
# - DFT formation energy (meV per atom) = -344.7
data_Ce6POs3
_space_group_name_H-M_alt 'P 1 21/m 1'
_space_group_IT_number 11
_space_group_name_Hall '-P 2yb'
_cell_length_a 11.244
_cell_length_b 4.060
_cell_length_c 11.671
_cell_angle_alpha 90.00
_cell_angle_beta 107.08
_cell_angle_gamma 90.00
loop_
_atom_site_label
_atom_site_type_symbol
_atom_site_fract_x
_atom_site_fract_y
_atom_site_fract_z
Ce1 Ce 0.034 0.250 0.391
Ce2 Ce 0.106 0.250 0.939
Ce3 Ce 0.236 0.750 0.267
Ce4 Ce 0.295 0.750 0.757
Ce5 Ce 0.382 0.250 0.539
Ce6 Ce 0.414 0.750 0.099
P1 P 0.451 0.250 0.305
Os1 Os 0.056 0.250 0.166
Os2 Os 0.190 0.750 0.501
Os3 Os 0.345 0.250 0.917

=====

# 19
# Rb2Na3IrO6 | Alexandria | PBE-GGA | relaxed
# - uncorrected energy (eV/atom) = -4.88
data_Rb2Na3IrO6
_space_group_name_H-M_alt 'C 1 2/m 1'
_space_group_IT_number 12
_space_group_name_Hall '-C 2y'
_cell_length_a 6.361
_cell_length_b 11.874
_cell_length_c 5.727
_cell_angle_alpha 90.00
_cell_angle_beta 112.10
_cell_angle_gamma 90.00
loop_
_atom_site_label
_atom_site_type_symbol
_atom_site_fract_x
_atom_site_fract_y
_atom_site_fract_z
Rb1 Rb 0.000 0.175 0.000
Na1 Na 0.000 0.000 0.500
Na2 Na 0.000 0.374 0.500
Ir1 Ir 0.000 0.500 0.000
O1 O 0.189 0.385 0.227
O2 O 0.195 0.500 0.809

=====

# 20
# Zr3HgC | Alexandria | PBE-GGA | relaxed
# - E above lowest polymorph (eV per atom) = 1.165
# - DFT formation energy (meV per atom) = 660.9
data_Zr3HgC
_space_group_name_H-M_alt 'P 4 m m'
_space_group_IT_number 99
_space_group_name_Hall 'P 4 -2'
_cell_length_a 4.239
_cell_length_b 4.239
_cell_length_c 7.822
_cell_angle_alpha 90.00
_cell_angle_beta 90.00
_cell_angle_gamma 90.00
loop_
_atom_site_label
_atom_site_type_symbol
_atom_site_fract_x
_atom_site_fract_y
_atom_site_fract_z
Zr1 Zr 0.000 0.000 0.000
Zr2 Zr 0.000 0.500 0.692
Hg1 Hg 0.000 0.000 0.378
C1 C 0.500 0.500 0.610